(1)
Density functional theory data (PBE) for a relaxed structure of CeAlGaAu3.

Output
The calculation puts the formation energy from the elements at -0.37 eV/atom. As for the symmetry: Cmcm, No. 63.

a b c (Å): 6.2654 6.7385 7.0045
angles (deg): 118.75 90.00 90.00
Closest atoms and distances in Å follow each position.
Element x y z (fractional)
Au 0.2500 0.1637 0.3274  1 Ga 2.50, 1 Al 2.58
Al 0.2500 0.9537 0.9073  5 Au 2.55-2.58
Au 0.5000 0.2868 0.0000  2 Al 2.55, 2 Ga 2.68
Ga 0.7500 0.6323 0.2647  5 Au 2.50-2.68
Au 0.7500 0.8363 0.6726  1 Ga 2.50, 1 Al 2.58
Au 0.0000 0.2868 0.0000  2 Al 2.55, 2 Ga 2.68
Ce 0.7500 0.2951 0.5902  1 Al 3.06, 2 Ga 3.26, 6 Au 3.29-3.41
Al 0.7500 0.0463 0.0927  5 Au 2.55-2.58
Au 0.0000 0.7132 0.0000  2 Al 2.55, 2 Ga 2.68
Au 0.5000 0.7132 0.0000  2 Al 2.55, 2 Ga 2.68
Ga 0.2500 0.3677 0.7353  5 Au 2.50-2.68
Ce 0.2500 0.7049 0.4098  1 Al 3.06, 2 Ga 3.26, 6 Au 3.29-3.41

***

(2)
Density functional theory data (PBE) for a relaxed structure of CeAl2GaAu4.

Output
The calculation puts the formation energy from the elements at -0.46 eV/atom. As for the symmetry: R-3m, No. 166.

a b c (Å): 4.3920 4.3920 9.7444
angles (deg): 76.98 76.98 60.00
Closest atoms and distances in Å follow each position.
Element x y z (fractional)
Au 0.1258 0.1258 0.6227  3 Al 2.75, 3 Ga 2.79
Ga 0.5000 0.5000 0.5000  8 Au 2.79-2.94
Ce 0.0000 0.0000 0.0000  6 Au 3.09
Al 0.7548 0.7548 0.7356  6 Au 2.64-2.75
Au 0.8742 0.8742 0.3773  3 Al 2.75, 3 Ga 2.79
Au 0.6041 0.6041 0.1876  3 Al 2.64, 1 Ga 2.94
Au 0.3959 0.3959 0.8124  3 Al 2.64, 1 Ga 2.94
Al 0.2452 0.2452 0.2644  6 Au 2.64-2.75

***

(3)
Density functional theory data (PBE) for a relaxed structure of CeAlGaAu6.

Output
The calculation puts the formation energy from the elements at -0.27 eV/atom. As for the symmetry: Imma, No. 74.

a b c (Å): 9.2615 7.4465 8.0483
angles (deg): 117.56 125.13 90.00
Closest atoms and distances in Å follow each position.
Element x y z (fractional)
Au 0.6442 0.8253 0.7536  1 Al 2.64, 2 Au 2.77-2.78, 1 Ga 2.84
Au 0.3360 0.0860 0.6720  2 Al 2.50, 2 Ga 2.58
Au 0.6640 0.9140 0.3280  2 Al 2.50, 2 Ga 2.58
Au 0.3558 0.1747 0.2464  1 Al 2.64, 2 Au 2.77-2.78, 1 Ga 2.84
Al 0.5000 0.0000 0.5000  6 Au 2.50-2.64
Au 0.1094 0.8253 0.7536  1 Al 2.64, 2 Au 2.77-2.78, 1 Ga 2.84
Au 0.6442 0.4283 0.7536  1 Al 2.64, 2 Au 2.77-2.78, 1 Ga 2.84
Au 0.8906 0.5717 0.2464  1 Al 2.64, 2 Au 2.77-2.78, 1 Ga 2.84
Ga 0.5000 0.0000 0.0000  6 Au 2.58-2.84
Au 0.2730 0.5230 0.5460  8 Au 3.08-3.10, 2 Ga 3.09, 1 Ce 3.35
Au 0.3558 0.5717 0.2464  1 Al 2.64, 2 Au 2.77-2.78, 1 Ga 2.84
Ga 0.5000 0.5000 0.0000  6 Au 2.58-2.84
Ce 0.9642 0.2142 0.9285  10 Au 3.13-3.35, 2 Al 3.28
Ce 0.0358 0.7858 0.0715  10 Au 3.13-3.35, 2 Al 3.28
Al 0.0000 0.0000 0.5000  6 Au 2.50-2.64
Au 0.8906 0.1747 0.2464  1 Al 2.64, 2 Au 2.77-2.78, 1 Ga 2.84
Au 0.1094 0.4283 0.7536  1 Al 2.64, 2 Au 2.77-2.78, 1 Ga 2.84
Au 0.7270 0.4770 0.4540  8 Au 3.08-3.10, 2 Ga 3.09, 1 Ce 3.35

***

(4)
Density functional theory data (PBE) for a relaxed structure of CeAlGaAu2.

Output
The calculation puts the formation energy from the elements at -0.61 eV/atom. As for the symmetry: I-4m2, No. 119.

a b c (Å): 4.2912 4.2912 6.4325
angles (deg): 109.48 109.48 90.00
Closest atoms and distances in Å follow each position.
Element x y z (fractional)
Al 0.7500 0.2500 0.5000  4 Au 2.60
Au 0.6207 0.6207 0.2414  2 Al 2.60, 2 Ga 2.60, 1 Au 2.74
Ga 0.2500 0.7500 0.5000  4 Au 2.60
Au 0.3793 0.3793 0.7586  2 Al 2.60, 2 Ga 2.60, 1 Au 2.74
Ce 0.0000 0.0000 0.0000  8 Au 3.33, 4 Ga 3.56, 4 Al 3.56

***

(5)
Density functional theory data (PBE) for a relaxed structure of Ce2Al6GaAu.

Output
The calculation puts the formation energy from the elements at -0.17 eV/atom. As for the symmetry: R-3m, No. 166.

a b c (Å): 6.4878 6.4878 12.4860
angles (deg): 74.94 74.94 60.00
Closest atoms and distances in Å follow each position.
Element x y z (fractional)
Al 0.6717 0.0618 0.5948  2 Al 2.53, 1 Au 2.55, 1 Ga 2.75
Ce 0.1078 0.1078 0.6767  12 Al 3.41-3.55, 3 Ga 3.79
Al 0.0618 0.6717 0.5948  2 Al 2.53, 1 Au 2.55, 1 Ga 2.75
Al 0.3597 0.7704 0.0994  1 Au 2.50, 1 Ga 2.60, 2 Al 2.66
Al 0.2296 0.6403 0.9006  1 Au 2.50, 1 Ga 2.60, 2 Al 2.66
Al 0.6403 0.2296 0.9006  1 Au 2.50, 1 Ga 2.60, 2 Al 2.66
Ce 0.7186 0.7186 0.8443  12 Al 3.31-3.41
Al 0.2296 0.2296 0.9006  1 Au 2.50, 1 Ga 2.60, 2 Al 2.66
Al 0.9382 0.3283 0.4052  2 Al 2.53, 1 Au 2.55, 1 Ga 2.75
Al 0.3283 0.3283 0.4052  2 Al 2.53, 1 Au 2.55, 1 Ga 2.75
Al 0.7704 0.3597 0.0994  1 Au 2.50, 1 Ga 2.60, 2 Al 2.66
Al 0.7704 0.7704 0.0994  1 Au 2.50, 1 Ga 2.60, 2 Al 2.66
Al 0.6717 0.6717 0.5948  2 Al 2.53, 1 Au 2.55, 1 Ga 2.75
Ce 0.8922 0.8922 0.3233  12 Al 3.41-3.55, 3 Ga 3.79
Ce 0.2814 0.2814 0.1557  12 Al 3.31-3.41
Ga 0.5747 0.5747 0.2759  6 Al 2.60-2.75, 1 Au 2.67
Al 0.3283 0.9382 0.4052  2 Al 2.53, 1 Au 2.55, 1 Ga 2.75
Ga 0.4253 0.4253 0.7241  6 Al 2.60-2.75, 1 Au 2.67
Au 0.0000 0.0000 0.0000  6 Al 2.50
Au 0.5000 0.5000 0.5000  6 Al 2.55, 2 Ga 2.67

***

(6)
Density functional theory data (PBE) for a relaxed structure of Ce2AlGaAu6.

Output
The calculation puts the formation energy from the elements at -0.46 eV/atom. As for the symmetry: R-3m, No. 166.

a b c (Å): 6.7109 6.7109 12.0242
angles (deg): 73.80 73.80 60.00
Closest atoms and distances in Å follow each position.
Element x y z (fractional)
Ce 0.2839 0.2839 0.1484  12 Au 3.28-3.40
Au 0.3381 0.3381 0.3998  1 Al 2.54, 1 Ga 2.67, 2 Au 2.78
Ce 0.8856 0.8856 0.3432  12 Au 3.34-3.49
Ga 0.5746 0.5746 0.2763  1 Al 2.55, 6 Au 2.59-2.67
Ga 0.4254 0.4254 0.7237  1 Al 2.55, 6 Au 2.59-2.67
Au 0.0760 0.6619 0.6002  1 Al 2.54, 1 Ga 2.67, 2 Au 2.78
Au 0.9240 0.3381 0.3998  1 Al 2.54, 1 Ga 2.67, 2 Au 2.78
Au 0.2222 0.2222 0.8958  1 Al 2.48, 1 Ga 2.59
Au 0.6619 0.6619 0.6002  1 Al 2.54, 1 Ga 2.67, 2 Au 2.78
Au 0.3403 0.7778 0.1042  1 Al 2.48, 1 Ga 2.59
Al 0.5000 0.5000 0.5000  6 Au 2.54, 2 Ga 2.55
Au 0.3381 0.9240 0.3998  1 Al 2.54, 1 Ga 2.67, 2 Au 2.78
Au 0.7778 0.7778 0.1042  1 Al 2.48, 1 Ga 2.59
Ce 0.1144 0.1144 0.6568  12 Au 3.34-3.49
Au 0.6597 0.2222 0.8958  1 Al 2.48, 1 Ga 2.59
Al 0.0000 0.0000 0.0000  6 Au 2.48
Au 0.2222 0.6597 0.8958  1 Al 2.48, 1 Ga 2.59
Au 0.6619 0.0760 0.6002  1 Al 2.54, 1 Ga 2.67, 2 Au 2.78
Ce 0.7161 0.7161 0.8516  12 Au 3.28-3.40
Au 0.7778 0.3403 0.1042  1 Al 2.48, 1 Ga 2.59

***

(7)
Density functional theory data (PBE) for a relaxed structure of CeAlGeAu.

Output
The calculation puts the formation energy from the elements at -0.55 eV/atom. As for the symmetry: R3m, No. 160.

a b c (Å): 4.3574 4.3585 5.8197
angles (deg): 111.97 90.00 119.99
Closest atoms and distances in Å follow each position.
Element x y z (fractional)
Al 0.1207 0.2414 0.0043  3 Au 2.64, 3 Ge 2.71
Ce 0.6160 0.2320 0.4900  3 Ge 3.04, 3 Au 3.06
Ge 0.3907 0.7814 0.8142  3 Al 2.71
Au 0.8389 0.6777 0.1588  3 Al 2.64

***

(8)
Density functional theory data (PBE) for a relaxed structure of Ce2AlGeAu6.

Output
The calculation puts the formation energy from the elements at -0.42 eV/atom. As for the symmetry: R-3m, No. 166.

a b c (Å): 6.7277 6.7277 12.0582
angles (deg): 73.80 73.80 60.00
Closest atoms and distances in Å follow each position.
Element x y z (fractional)
Ce 0.8850 0.8850 0.3451  12 Au 3.29-3.53
Au 0.2211 0.6594 0.8985  1 Al 2.47, 1 Ge 2.60
Ge 0.4245 0.4245 0.7266  1 Al 2.59, 6 Au 2.60-2.72
Al 0.0000 0.0000 0.0000  6 Au 2.47
Ce 0.2834 0.2834 0.1499  12 Au 3.31-3.42
Au 0.6636 0.6636 0.5963  1 Al 2.53, 1 Ge 2.72, 2 Au 2.78
Au 0.7789 0.3406 0.1015  1 Al 2.47, 1 Ge 2.60
Au 0.3364 0.9235 0.4037  1 Al 2.53, 1 Ge 2.72, 2 Au 2.78
Au 0.3406 0.7789 0.1015  1 Al 2.47, 1 Ge 2.60
Au 0.7789 0.7789 0.1015  1 Al 2.47, 1 Ge 2.60
Ge 0.5755 0.5755 0.2734  1 Al 2.59, 6 Au 2.60-2.72
Ce 0.7166 0.7166 0.8501  12 Au 3.31-3.42
Au 0.3364 0.3364 0.4037  1 Al 2.53, 1 Ge 2.72, 2 Au 2.78
Al 0.5000 0.5000 0.5000  6 Au 2.53, 2 Ge 2.59
Au 0.0765 0.6636 0.5963  1 Al 2.53, 1 Ge 2.72, 2 Au 2.78
Au 0.9235 0.3364 0.4037  1 Al 2.53, 1 Ge 2.72, 2 Au 2.78
Au 0.6594 0.2211 0.8985  1 Al 2.47, 1 Ge 2.60
Au 0.6636 0.0765 0.5963  1 Al 2.53, 1 Ge 2.72, 2 Au 2.78
Ce 0.1150 0.1150 0.6549  12 Au 3.29-3.53
Au 0.2211 0.2211 0.8985  1 Al 2.47, 1 Ge 2.60